Version one
# NaPdF

A geometry-optimized NaPdF structure (PBE-GGA, Alexandria via LeMat-Bulk).

Results
Space-group type: No. 38
Crystal system: orthorhombic

The structure in POSCAR format:
```
NaPdF
1.0
2.979 0.000 0.000
0.000 1.434 10.319
0.000 -1.434 10.319
Na Pd F
2 2 2
direct
0.000 0.000 0.000
0.500 0.140 0.140
0.000 0.764 0.764
0.500 0.352 0.352
0.000 0.594 0.594
0.500 0.460 0.460
```

---

Version two
# NaPdF

A geometry-optimized NaPdF structure (PBE-GGA, Alexandria via LeMat-Bulk).

Results
Space-group type: No. 194
Crystal system: hexagonal

The structure in POSCAR format:
```
NaPdF
1.0
3.702 0.000 0.000
-1.851 3.206 0.000
0.000 0.000 9.201
Na Pd F
2 2 2
direct
0.333 0.667 0.250
0.667 0.333 0.750
0.000 0.000 0.000
0.000 0.000 0.500
0.000 0.000 0.250
0.000 0.000 0.750
```

---

The relative energies come out as version one 0; version two 485, with values in meV per atom.

---

Version one
# Y3TiSb

A geometry-optimized Y3TiSb structure (PBE-GGA, Alexandria via LeMat-Bulk).

Results
Space-group type: No. 221
Crystal system: cubic

The structure in POSCAR format:
```
Y3TiSb
1.0
5.300 0.000 0.000
0.000 5.300 0.000
0.000 0.000 5.300
Y Ti Sb
3 1 1
direct
0.000 0.000 0.500
0.000 0.500 0.000
0.500 0.000 0.000
0.000 0.000 0.000
0.500 0.500 0.500
```

---

Version two
# Y3TiSb

A geometry-optimized Y3TiSb structure (PBE-GGA, Alexandria via LeMat-Bulk).

Results
Space-group type: No. 221
Crystal system: cubic

The structure in POSCAR format:
```
Y3TiSb
1.0
5.666 0.000 0.000
0.000 5.666 0.000
0.000 0.000 5.666
Y Ti Sb
3 1 1
direct
0.000 0.000 0.500
0.000 0.500 0.000
0.500 0.000 0.000
0.500 0.500 0.500
0.000 0.000 0.000
```

---

The relative energies come out as version one 0; version two 81, with values in meV per atom.

---

Version one
# Rb2TlTe2

A geometry-optimized Rb2TlTe2 structure (PBE-GGA, Alexandria via LeMat-Bulk).

Results
Space-group type: No. 127
Crystal system: tetragonal

The structure in POSCAR format:
```
Rb2TlTe2
1.0
10.614 0.000 0.000
0.000 10.614 0.000
0.000 0.000 3.597
Rb Tl Te
4 2 4
direct
0.124 0.376 0.000
0.376 0.876 0.000
0.624 0.124 0.000
0.876 0.624 0.000
0.000 0.000 0.000
0.500 0.500 0.000
0.174 0.674 0.500
0.326 0.174 0.500
0.674 0.826 0.500
0.826 0.326 0.500
```

---

Version two
# Rb2TlTe2

A geometry-optimized Rb2TlTe2 structure (PBE-GGA, Alexandria via LeMat-Bulk).

Results
Space-group type: No. 72
Crystal system: orthorhombic

The structure in POSCAR format:
```
Rb2TlTe2
1.0
-4.071 7.505 3.770
4.071 -7.505 3.770
4.071 7.505 -3.770
Rb Tl Te
4 2 4
direct
0.139 0.175 0.314
0.361 0.675 0.036
0.639 0.325 0.964
0.861 0.825 0.686
0.250 0.750 0.500
0.750 0.250 0.500
0.116 0.718 0.833
0.384 0.218 0.602
0.616 0.782 0.398
0.884 0.282 0.167
```

---

The relative energies come out as version one 175; version two 0, with values in meV per atom.

---

Version one
# PaTi2Pb

A geometry-optimized PaTi2Pb structure (PBE-GGA, Alexandria via LeMat-Bulk).

Results
Space-group type: No. 123
Crystal system: tetragonal

The structure in POSCAR format:
```
PaTi2Pb
1.0
4.721 0.000 0.000
0.000 4.721 0.000
0.000 0.000 3.661
Pa Ti Pb
1 2 1
direct
0.000 0.000 0.000
0.000 0.500 0.500
0.500 0.000 0.500
0.500 0.500 0.000
```

---

Version two
# PaTi2Pb

A geometry-optimized PaTi2Pb structure (PBE-GGA, Alexandria via LeMat-Bulk).

Results
Space-group type: No. 123
Crystal system: tetragonal

The structure in POSCAR format:
```
PaTi2Pb
1.0
3.540 0.000 0.000
0.000 3.540 0.000
0.000 0.000 6.605
Pa Ti Pb
1 2 1
direct
0.000 0.000 0.000
0.500 0.500 0.229
0.500 0.500 0.771
0.000 0.000 0.500
```

---

The relative energies come out as version one 0; version two 51, with values in meV per atom.

---

Version one
# LiZnCl2

A geometry-optimized LiZnCl2 structure (PBE-GGA, Alexandria via LeMat-Bulk).

Results
Space-group type: No. 71
Crystal system: orthorhombic

The structure in POSCAR format:
```
LiZnCl2
1.0
-1.818 3.647 3.655
1.818 -3.647 3.655
1.818 3.647 -3.655
Li Zn Cl
1 1 2
direct
0.000 0.000 0.000
0.500 0.000 0.500
0.230 0.500 0.730
0.770 0.500 0.270
```

---

Version two
# LiZnCl2

A geometry-optimized LiZnCl2 structure (PBE-GGA, Alexandria via LeMat-Bulk).

Results
Space-group type: No. 38
Crystal system: orthorhombic

The structure in POSCAR format:
```
LiZnCl2
1.0
5.547 0.000 0.000
0.000 2.560 3.002
0.000 -2.560 3.002
Li Zn Cl
1 1 2
direct
0.000 0.000 0.000
0.500 0.434 0.434
0.000 0.408 0.408
0.500 0.947 0.947
```

---

The relative energies come out as version one 154; version two 0, with values in meV per atom.

---

Version one
# Re2MoRh

A geometry-optimized Re2MoRh structure (PBE-GGA, Alexandria via LeMat-Bulk).

Results
Space-group type: No. 25
Crystal system: orthorhombic

The structure in POSCAR format:
```
Re2MoRh
1.0
2.756 0.000 0.000
0.000 3.924 0.000
0.000 0.000 5.561
Re Mo Rh
2 1 1
direct
0.000 0.000 0.000
0.500 0.500 0.228
0.500 0.500 0.740
0.000 0.000 0.490
```

---

Version two
# Re2MoRh

A geometry-optimized Re2MoRh structure (PBE-GGA, Alexandria via LeMat-Bulk).

Results
Space-group type: No. 10
Crystal system: monoclinic

The structure in POSCAR format:
```
Re2MoRh
1.0
2.673 0.000 0.000
0.000 4.108 0.000
-0.555 0.000 5.513
Re Mo Rh
2 1 1
direct
0.064 0.000 0.239
0.936 0.000 0.761
0.500 0.500 0.500
0.500 0.500 0.000
```

---

The relative energies come out as version one 0; version two 78, with values in meV per atom.

---

Version one
# B2C

A geometry-optimized B2C structure (PBE-GGA, Alexandria via LeMat-Bulk).

Results
Space-group type: No. 156
Crystal system: trigonal

The structure in POSCAR format:
```
B2C
1.0
2.732 0.000 0.000
-1.366 2.366 0.000
0.000 0.000 13.565
B C
8 4
direct
0.000 0.000 0.000
0.000 0.000 0.120
0.000 0.000 0.397
0.000 0.000 0.630
0.333 0.667 0.081
0.333 0.667 0.219
0.333 0.667 0.765
0.667 0.333 0.922
0.333 0.667 0.640
0.667 0.333 0.267
0.667 0.333 0.382
0.667 0.333 0.811
```

---

Version two
# B2C

A geometry-optimized B2C structure (PBE-GGA, Alexandria via LeMat-Bulk).

Results
Space-group type: No. 6
Crystal system: monoclinic

The structure in POSCAR format:
```
B2C
1.0
5.132 0.000 0.000
0.000 2.752 0.000
-1.666 0.000 5.954
B C
8 4
direct
0.000 0.000 0.000
0.011 0.000 0.512
0.154 0.000 0.287
0.371 0.500 0.317
0.403 0.000 0.522
0.424 0.000 0.809
0.633 0.500 0.528
0.647 0.500 0.170
0.063 0.500 0.882
0.395 0.500 0.919
0.826 0.000 0.198
0.941 0.500 0.623
```

---

The relative energies come out as version one 144; version two 0, with values in meV per atom.

---

Version one
# TaTcNi2

A geometry-optimized TaTcNi2 structure (PBE-GGA, Alexandria via LeMat-Bulk).

Results
Space-group type: No. 10
Crystal system: monoclinic

The structure in POSCAR format:
```
TaTcNi2
1.0
2.702 0.000 0.000
0.000 3.753 0.000
-0.009 0.000 5.326
Ta Tc Ni
1 1 2
direct
0.000 0.000 0.000
0.000 0.000 0.500
0.500 0.500 0.261
0.500 0.500 0.739
```

---

Version two
# TaTcNi2

A geometry-optimized TaTcNi2 structure (PBE-GGA, Alexandria via LeMat-Bulk).

Results
Space-group type: No. 8
Crystal system: monoclinic

The structure in POSCAR format:
```
TaTcNi2
1.0
4.379 -1.330 0.000
4.379 1.330 0.000
-0.695 0.000 4.676
Ta Tc Ni
1 1 2
direct
0.000 0.000 0.000
0.237 0.237 0.696
0.493 0.493 0.485
0.750 0.750 0.236
```

---

The relative energies come out as version one 0; version two 42, with values in meV per atom.